[1]
# LaAlPb4 PBE-GGA relaxed
data_LaAlPb4
_chemical_formula_sum 'La4 Al4 Pb16'
_cell_length_a 9.112
_cell_length_b 9.112
_cell_length_c 9.112
_cell_angle_alpha 90.00
_cell_angle_beta 90.00
_cell_angle_gamma 90.00
_symmetry_space_group_name_H-M 'F -4 3 m'
_symmetry_Int_Tables_number 216
_symmetry_space_group_name_Hall 'F -4 2 3'
loop_
_atom_site_label
_atom_site_type_symbol
_atom_site_fract_x
_atom_site_fract_y
_atom_site_fract_z
La1 La 0.000 0.000 0.000
Al1 Al 0.250 0.250 0.250
Pb1 Pb 0.125 0.125 0.625
# DOS(E_F) ... 0.891 states/eV/atom
# Formation energy ... 0.05 eV per atom

[2]
# TlCoAs2Br PBE-GGA relaxed
data_TlCoAs2Br
_chemical_formula_sum 'Tl1 Co1 As2 Br1'
_cell_length_a 5.319
_cell_length_b 5.319
_cell_length_c 5.710
_cell_angle_alpha 90.00
_cell_angle_beta 90.00
_cell_angle_gamma 90.00
_symmetry_space_group_name_H-M 'P 4/m m m'
_symmetry_Int_Tables_number 123
_symmetry_space_group_name_Hall '-P 4 2'
loop_
_atom_site_label
_atom_site_type_symbol
_atom_site_fract_x
_atom_site_fract_y
_atom_site_fract_z
Tl1 Tl 0.000 0.000 0.000
Co1 Co 0.500 0.500 0.500
As1 As 0.000 0.500 0.000
Br1 Br 0.000 0.000 0.500
# DOS(E_F) ... 1.851 states/eV/atom
# Uncorrected formation energy ... 133.28 kJ/mol of atoms

[3]
# Li3Tb3InTe8 PBE-GGA relaxed
data_Li3Tb3InTe8
_chemical_formula_sum 'Li9 Tb9 In3 Te24'
_cell_length_a 8.6542
_cell_length_b 8.6542
_cell_length_c 21.0169
_cell_angle_alpha 90.00
_cell_angle_beta 90.00
_cell_angle_gamma 120.00
_symmetry_space_group_name_H-M 'R -3 m'
_symmetry_Int_Tables_number 166
_symmetry_space_group_name_Hall '-R 3 2"'
loop_
_atom_site_label
_atom_site_type_symbol
_atom_site_fract_x
_atom_site_fract_y
_atom_site_fract_z
Li1 Li 0.0000 0.5000 0.0000
Tb1 Tb 0.0000 0.5000 0.5000
In1 In 0.0000 0.0000 0.5000
Te1 Te 0.0000 0.0000 0.2528
Te2 Te 0.0053 0.5027 0.2521
# DOS(E_F) ... 0.504 states/eV/atom
# Uncorrected formation energy ... -98.76 kJ/mol of atoms

> Number 1 is which compound?

LaAlPb4